1.
## Pm4Te2PPd (GGA-PBE)

Data for crystalline Pm4Te2PPd at its relaxed geometry.

Values from the calculation:
Volume ... 229 Å³/f.u.
Formation energy without anion corrections ... -10.284 eV/f.u.
Calculated total energy ... -5.77 eV per atom
Total magnetization ... 0.00 μB per formula unit

Cell: 7.5098 4.2414 7.5909 Å, 90.00 108.67 90.00°
Positions (direct):
Pm1 0.2309 0.0000 0.2190
Pm2 0.2559 0.5000 0.7818
Pm3 0.7441 0.5000 0.2182
Pm4 0.7691 0.0000 0.7810
Te1 0.0000 0.0000 0.5000
Te2 0.5000 0.5000 0.5000
P1 0.0000 0.5000 0.0000
Pd1 0.5000 0.0000 0.0000



2.
## Pm3ZnP2Pd9 (GGA-PBE)

Data for crystalline Pm3ZnP2Pd9 at its relaxed geometry.

Values from the calculation:
Volume ... 305 Å³/f.u.
Energy relative to the elements ... -957 kJ/mol of formula units
Calculated total energy ... -5.53 eV per atom
Total magnetization ... 0.00 μB per formula unit

Cell: 6.2000 6.2000 9.1521 Å, 90.00 90.00 120.00°
Positions (direct):
Pm1 0.0000 0.0000 0.0000
Pm2 0.3333 0.6667 0.6820
Pm3 0.6667 0.3333 0.3180
Zn1 0.0000 0.0000 0.5000
P1 0.3333 0.6667 0.1662
P2 0.6667 0.3333 0.8338
Pd1 0.0000 0.5000 0.0000
Pd2 0.1498 0.2997 0.2860
Pd3 0.1498 0.8502 0.2860
Pd4 0.2997 0.1498 0.7140
Pd5 0.5000 0.0000 0.0000
Pd6 0.5000 0.5000 0.0000
Pd7 0.7003 0.8502 0.2860
Pd8 0.8502 0.1498 0.7140
Pd9 0.8502 0.7003 0.7140



3.
## PrPPd (GGA-PBE)

Data for crystalline PrPPd at its relaxed geometry.

Values from the calculation:
Volume ... 67 Å³/f.u.
Energy relative to the elements ... -307 kJ/mol of formula units
Calculated total energy ... -6.19 eV per atom
Total magnetization ... 0.00 μB per formula unit

Cell: 4.3850 10.5642 5.7900 Å, 90.00 90.00 90.00°
Positions (direct):
Pr1 0.0000 0.1424 0.2500
Pr2 0.0000 0.8576 0.7500
Pr3 0.5000 0.3577 0.7500
Pr4 0.5000 0.6424 0.2500
P1 0.0000 0.1508 0.7500
P2 0.0000 0.8492 0.2500
P3 0.5000 0.3492 0.2500
P4 0.5000 0.6508 0.7500
Pd1 0.0000 0.4296 0.2500
Pd2 0.0000 0.5704 0.7500
Pd3 0.5000 0.0704 0.7500
Pd4 0.5000 0.9296 0.2500



4.
## Pr3P4Pd4 (GGA-PBE)

Data for crystalline Pr3P4Pd4 at its relaxed geometry.

Values from the calculation:
ΔE to the lowest computed polymorph ... 0.00 eV per formula unit
Volume ... 212 Å³/f.u.
Energy relative to the elements ... -1176 kJ/mol of formula units
Calculated total energy ... -6.27 eV per atom
Total magnetization ... 0.00 μB per formula unit

Cell: 12.6193 12.6193 12.6193 Å, 161.06 161.03 26.93°
Positions (direct):
Pr1 0.0000 0.0000 0.0000
Pr2 0.3505 0.8505 0.5000
Pr3 0.6495 0.1495 0.5000
P1 0.1917 0.6917 0.5000
P2 0.4530 0.4530 0.0000
P3 0.5470 0.5470 0.0000
P4 0.8083 0.3083 0.5000
Pd1 0.0944 0.5944 0.5000
Pd2 0.2513 0.2513 0.0000
Pd3 0.7487 0.7487 0.0000
Pd4 0.9056 0.4056 0.5000



Which of these has the lowest calculated total energy?
Pr3P4Pd4